Computed, not measured: a relaxed KRb3Ti crystal at the GGA-PBE level of DFT.

Results
- calculated total energy (eV/atom) = -1.28
- offset from the most stable computed form (meV per atom) = 320.9
- formation energy from the elements (meV per atom) = 1095
- space group = Pm-3m (221)
- mass density (g/cm3) = 1.4

Structure (POSCAR):
```
KRb3Ti
1.0
7.483 0.000 0.000
0.000 7.483 0.000
0.000 0.000 7.483
K Rb Ti
1 3 1
direct
0.000 0.000 0.000
0.000 0.000 0.500
0.000 0.500 0.000
0.500 0.000 0.000
0.500 0.500 0.500
```